Record 1
This record from Alexandria describes a relaxed structure of Tb2Pr6Er3. The functional is PBE.

The structure belongs to space group P-1 (No. 2); the cell edges are 6.273, 6.293 and 9.615 Å and the angles 90.14°, 96.38° and 99.38°. The asymmetric unit holds Tb at (0.230, 0.457, 0.410), Pr at (0.043, 0.093, 0.680), Pr at (0.138, 0.274, 0.046), Pr at (0.319, 0.640, 0.770), Er at (0.410, 0.818, 0.138) and Er at (0.500, 0.000, 0.500).

The value obtained for the formation energy is 1.7 kJ per mole of atoms. For the magnetization, the calculation gives 0.00 μB per cell. The calculation puts the energy above the most stable polymorph in this dataset at 0.000 eV/atom.

***

Record 2
This record from Alexandria describes a relaxed structure of Tb2Pr5Er3. The functional is PBE.

The structure belongs to space group C2/c (No. 15); the cell edges are 10.777, 14.925 and 10.092 Å and the angles 90.00°, 122.25° and 90.00°. The asymmetric unit holds Tb at (0.155, 0.121, 0.058), Pr at (0.000, 0.229, 0.250), Pr at (0.000, 0.269, 0.750), Pr at (0.000, 0.479, 0.750), Pr at (0.247, 0.120, 0.746), Er at (0.000, 0.022, 0.250) and Er at (0.155, 0.376, 0.558).

The value obtained for the formation energy is 17.0 kJ per mole of atoms. For the magnetization, the calculation gives 0.00 μB per cell. The calculation puts the energy above the most stable polymorph in this dataset at 0.000 eV/atom.

***

Record 3
This record from Alexandria describes a relaxed structure of Tb5PrEr7. The functional is PBE.

The structure belongs to space group Imm2 (No. 44); the cell edges are 6.669, 11.038 and 11.541 Å and the angles 90.00°, 90.00° and 90.00°. The asymmetric unit holds Tb at (0.000, 0.000, 0.000), Tb at (0.233, 0.271, 0.997), Pr at (0.000, 0.500, 0.199), Er at (0.000, 0.000, 0.495), Er at (0.000, 0.168, 0.248), Er at (0.000, 0.169, 0.747), Er at (0.000, 0.500, 0.502) and Er at (0.000, 0.500, 0.807).

The value obtained for the formation energy is 24.0 kJ per mole of atoms. For the magnetization, the calculation gives 0.00 μB per cell. The calculation puts the energy above the most stable polymorph in this dataset at 0.000 eV/atom.